## La6Pb2CO (PBE)

Data for La6Pb2CO after structural relaxation.

The calculation puts the formation energy without anion corrections at -0.9815 eV per atom.

abc: 10.330 10.330 10.330
angles: 90.00 90.00 90.00
Space group Fm-3m (No. 225)
Unique sites:
1 La 0.000 0.000 0.249
2 Pb 0.250 0.250 0.250
3 C 0.000 0.000 0.000
4 O 0.000 0.000 0.500



## CsK2NaAu2 (PBE)

Data for CsK2NaAu2 after structural relaxation.

As for the formation energy: -213 meV/atom.

abc: 5.207 10.072 8.793
angles: 90.00 90.00 90.00
Space group Pmc2_1 (No. 26)
Unique sites:
1 Cs 0.000 0.065 0.000
2 K 0.000 0.327 0.380
3 K 0.500 0.417 0.043
4 Na 0.500 0.199 0.670
5 Au 0.000 0.355 0.760
6 Au 0.500 0.119 0.294



## Mg3Sb (PBE)

Data for Mg3Sb after structural relaxation.

The calculation puts the offset from the most stable computed form at 0.082 eV/atom. The calculation puts the formation energy without anion corrections at -0.0903 eV per atom.

abc: 10.364 3.297 5.625
angles: 90.00 100.26 90.00
Space group C2/m (No. 12)
Unique sites:
1 Mg 0.000 0.000 0.000
2 Mg 0.250 0.000 0.762
3 Sb 0.000 0.500 0.500



## BeGeI3 (PBE)

Data for BeGeI3 after structural relaxation.

The calculation puts the offset from the most stable computed form at 0.271 eV/atom. The calculation puts the formation energy without anion corrections at 0.5612 eV per atom.

abc: 5.767 5.767 5.767
angles: 90.00 90.00 90.00
Space group Pm-3m (No. 221)
Unique sites:
1 Be 0.000 0.000 0.000
2 Ge 0.500 0.500 0.500
3 I 0.000 0.500 0.500



## Sm2GePbO6 (PBE)

Data for Sm2GePbO6 after structural relaxation.

The calculation puts the formation energy without anion corrections at -2.2178 eV per atom.

abc: 5.441 5.441 5.454
angles: 90.00 90.00 90.00
Space group P4mm (No. 99)
Unique sites:
1 Sm 0.000 0.500 0.000
2 Ge 0.000 0.000 0.632
3 Pb 0.500 0.500 0.547
4 O 0.000 0.000 0.303
5 O 0.227 0.227 0.765
6 O 0.500 0.500 0.111



## ErMgAl2Ag2 (PBE)

Data for ErMgAl2Ag2 after structural relaxation.

As for the formation energy: -273 meV/atom.

abc: 4.5663 4.5663 6.5603
angles: 90.00 90.00 120.00
Space group P-3m1 (No. 164)
Unique sites:
1 Er 0.0000 0.0000 0.0000
2 Mg 0.0000 0.0000 0.5000
3 Al 0.3333 0.6667 0.7407
4 Ag 0.3333 0.6667 0.2718



## CaCrSe4 (PBE)

Data for CaCrSe4 after structural relaxation.

The calculation puts the formation energy without anion corrections at 0.1516 eV per atom.

abc: 8.251 8.251 8.251
angles: 90.00 90.00 90.00
Space group F-43m (No. 216)
Unique sites:
1 Ca 0.000 0.000 0.000
2 Cr 0.250 0.250 0.750
3 Se 0.124 0.124 0.376



## LaScCd4 (PBE)

Data for LaScCd4 after structural relaxation.

As for the formation energy: -280 meV/atom. The calculation puts the offset from the most stable computed form at 0.000 eV/atom.

abc: 3.329 5.012 8.791
angles: 90.00 90.00 90.00
Space group Pmmm (No. 47)
Unique sites:
1 La 0.000 0.000 0.000
2 Sc 0.000 0.500 0.500
3 Cd 0.500 0.000 0.343
4 Cd 0.500 0.500 0.181



## BeReTcB (PBE)

Data for BeReTcB after structural relaxation.

As for the formation energy: -278 meV/atom.

abc: 3.123 3.071 8.709
angles: 90.00 90.00 90.00
Space group Amm2 (No. 38)
Unique sites:
1 Be 0.000 0.000 0.000
2 Re 0.000 0.000 0.710
3 Tc 0.500 0.000 0.426
4 B 0.500 0.000 0.135



## CaSm2Th (PBE)

Data for CaSm2Th after structural relaxation.

As for the formation energy: 122 meV/atom. The calculation puts the offset from the most stable computed form at 0.084 eV/atom.

abc: 3.6010 3.6010 37.8211
angles: 90.00 90.00 120.00
Space group R-3m (No. 166, hexagonal axes)
Unique sites:
1 Ca 0.0000 0.0000 0.0000
2 Sm 0.0000 0.0000 0.0919
3 Th 0.0000 0.0000 0.5000



## Ac2CuHgPt (PBE)

Data for Ac2CuHgPt after structural relaxation.

As for the formation energy: -600 meV/atom.

abc: 6.773 4.620 9.226
angles: 90.00 94.59 90.00
Space group P2_1/m (No. 11)
Unique sites:
1 Ac 0.186 0.250 0.345
2 Ac 0.240 0.250 0.914
3 Cu 0.499 0.250 0.622
4 Hg 0.297 0.750 0.633
5 Pt 0.247 0.750 0.136



## SnSeO2 (PBE)

Data for SnSeO2 after structural relaxation.

The calculation puts the offset from the most stable computed form at 0.832 eV/atom. The calculation puts the formation energy without anion corrections at 0.1842 eV per atom.

abc: 6.058 6.058 6.058
angles: 90.00 90.00 90.00
Space group Fm-3m (No. 225)
Unique sites:
1 Sn 0.000 0.000 0.000
2 Se 0.000 0.000 0.500
3 O 0.250 0.250 0.250